Record 1
Material: CrGa2GeO6
Method: DFT, PBE+U
State: optimized geometry

a = 7.149 Å, b = 7.149 Å, c = 5.622 Å
α = 106.21°, β = 106.21°, γ = 100.00°
Element x y z (fractional)
1 Cr 0.095 0.905 0.750
2 Cr 0.905 0.095 0.250
3 Ga 0.284 0.445 0.825
4 Ga 0.445 0.284 0.325
5 Ga 0.555 0.716 0.675
6 Ga 0.716 0.555 0.175
7 Ge 0.192 0.808 0.250
8 Ge 0.808 0.192 0.750
9 O 0.035 0.204 0.663
10 O 0.145 0.638 0.933
11 O 0.204 0.035 0.163
12 O 0.314 0.442 0.506
13 O 0.362 0.855 0.567
14 O 0.442 0.314 0.006
15 O 0.558 0.686 0.994
16 O 0.638 0.145 0.433
17 O 0.686 0.558 0.494
18 O 0.796 0.965 0.837
19 O 0.855 0.362 0.067
20 O 0.965 0.796 0.337

Computed properties:
* SG: No. 15
* VASP energy: -6.4625 eV per atom


Record 2
Material: MnBP2O
Method: DFT, PBE+U
State: optimized geometry

a = 4.932 Å, b = 4.932 Å, c = 2.730 Å
α = 90.00°, β = 90.00°, γ = 90.00°
Element x y z (fractional)
1 Mn 0.000 0.000 0.000
2 B 0.500 0.500 0.500
3 P 0.000 0.500 0.500
4 P 0.500 0.000 0.500
5 O 0.500 0.500 0.000

Computed properties:
* SG: No. 123
* VASP energy: -5.9243 eV per atom
* density of states at the Fermi level: 3.20 states/eV per cell
* relative energy among the computed polymorphs: 0 meV per atom